NdTm2Mg3Ir3 | PBE-GGA | optimized geometry

The structure belongs to space group Amm2 (No. 38); the cell edges are 4.0686, 12.6232 and 7.2495 Å and the angles 90.00°, 90.00° and 90.00°. The asymmetric unit holds Nd at (0.0000, 0.0000, 0.0000), Tm at (0.0000, 0.2038, 0.6168), Mg at (0.5000, 0.0000, 0.6566), Mg at (0.5000, 0.1232, 0.2927), Ir at (0.0000, 0.0000, 0.4200) and Ir at (0.5000, 0.1718, 0.9117).

The energy is -101.84 eV per cell.